First-principles (PBE) data for an optimized crystal structure of Pm3Sm2Ag2, as listed in Alexandria via LeMat-Bulk.

Lattice parameters (Å, degrees): 3.814 6.828 9.401 114.68 90.00 106.22
Fractional coordinates of all 7 atoms:
Pm: 0.500 0.000 0.000
Pm: 0.611 0.222 0.446
Pm: 0.389 0.778 0.554
Sm: 0.852 0.703 0.187
Sm: 0.148 0.297 0.813
Ag: 0.828 0.656 0.774
Ag: 0.172 0.344 0.226

Results
formation energy = -0.8 eV/f.u.
energy above the lowest structure with this stoichiometry = 0.0 kJ per mole of atoms
space-group type = C2/m, No. 12

First-principles (PBE) data for an optimized crystal structure of CaHoAl2Ga2, as listed in Alexandria via LeMat-Bulk.

Lattice parameters (Å, degrees): 4.384 4.384 7.910 90.00 90.00 120.00
Fractional coordinates of all 6 atoms:
Ca: 0.000 0.000 0.000
Ho: 0.000 0.000 0.500
Al: 0.333 0.667 0.734
Al: 0.667 0.333 0.266
Ga: 0.333 0.667 0.267
Ga: 0.667 0.333 0.733

Results
formation energy = -2.8 eV/f.u.
space-group type = P-3m1, No. 164

First-principles (PBE) data for an optimized crystal structure of POsS, as listed in Alexandria via LeMat-Bulk.

Lattice parameters (Å, degrees): 5.227 3.186 6.904 90.00 119.96 90.00
Fractional coordinates of all 6 atoms:
P: 0.597 0.000 0.449
P: 0.597 0.500 0.949
Os: 0.357 0.000 0.056
Os: 0.357 0.500 0.556
S: 0.074 0.000 0.650
S: 0.074 0.500 0.150

Results
space-group type = Cm, No. 8

First-principles (PBE) data for an optimized crystal structure of NiHIr2, as listed in Alexandria via LeMat-Bulk.

Lattice parameters (Å, degrees): 5.961 5.961 4.897 52.51 52.51 90.00
Fractional coordinates of all 8 atoms:
Ni: 0.000 0.000 0.000
Ni: 0.750 0.250 0.500
Ir: 0.536 0.125 0.250
Ir: 0.214 0.625 0.250
Ir: 0.375 0.464 0.750
Ir: 0.875 0.786 0.750
H: 0.500 0.500 0.000
H: 0.250 0.750 0.500

Results
energy above the lowest structure with this stoichiometry = 0.0 kJ per mole of atoms
space-group type = I-42d, No. 122

First-principles (PBE) data for an optimized crystal structure of LiNpBi2, as listed in Alexandria via LeMat-Bulk.

Lattice parameters (Å, degrees): 3.404 3.404 9.181 90.00 90.00 90.00
Fractional coordinates of all 4 atoms:
Np: 0.500 0.500 0.500
Bi: 0.000 0.000 0.765
Bi: 0.000 0.000 0.235
Li: 0.500 0.500 0.000

Results
formation energy = -0.6 eV/f.u.
energy above the lowest structure with this stoichiometry = 0.9 kJ per mole of atoms
space-group type = P4/mmm, No. 123

First-principles (PBE) data for an optimized crystal structure of TcMoP, as listed in Alexandria via LeMat-Bulk.

Lattice parameters (Å, degrees): 4.131 4.131 2.875 90.00 90.00 120.00
Fractional coordinates of all 3 atoms:
Tc: 0.333 0.667 0.500
Mo: 0.000 0.000 0.000
P: 0.667 0.333 0.500

Results
formation energy = -0.9 eV/f.u.
energy above the lowest structure with this stoichiometry = 9.5 kJ per mole of atoms
space-group type = P-6m2, No. 187

First-principles (PBE) data for an optimized crystal structure of NpAg7Cl12, as listed in Alexandria via LeMat-Bulk.

Lattice parameters (Å, degrees): 6.840 10.248 10.248 64.80 77.15 102.85
Fractional coordinates of all 20 atoms:
Np: 0.000 0.000 0.000
Ag: 0.015 0.326 0.146
Ag: 0.839 0.854 0.472
Ag: 0.311 0.472 0.674
Ag: 0.500 0.000 0.000
Ag: 0.689 0.528 0.326
Ag: 0.161 0.146 0.528
Ag: 0.985 0.674 0.854
Cl: 0.718 0.459 0.117
Cl: 0.165 0.883 0.576
Cl: 0.232 0.120 0.118
Cl: 0.650 0.882 0.238
Cl: 0.741 0.576 0.541
Cl: 0.888 0.238 0.880
Cl: 0.112 0.762 0.120
Cl: 0.259 0.424 0.459
Cl: 0.350 0.118 0.762
Cl: 0.768 0.880 0.882
Cl: 0.835 0.117 0.424
Cl: 0.282 0.541 0.883

Results
space-group type = R-3, No. 148

First-principles (PBE) data for an optimized crystal structure of Sr2Cd3Ag12Sn, as listed in Alexandria via LeMat-Bulk.

Lattice parameters (Å, degrees): 10.800 10.800 10.800 38.65 38.65 38.65
Fractional coordinates of all 18 atoms:
Sr: 0.649 0.649 0.649
Sr: 0.351 0.351 0.351
Cd: 0.500 0.000 0.000
Cd: 0.000 0.500 0.000
Cd: 0.000 0.000 0.500
Ag: 0.421 0.421 0.808
Ag: 0.922 0.922 0.365
Ag: 0.365 0.922 0.922
Ag: 0.808 0.421 0.421
Ag: 0.922 0.365 0.922
Ag: 0.421 0.808 0.421
Ag: 0.579 0.579 0.192
Ag: 0.078 0.078 0.635
Ag: 0.635 0.078 0.078
Ag: 0.192 0.579 0.579
Ag: 0.078 0.635 0.078
Ag: 0.579 0.192 0.579
Sn: 0.000 0.000 0.000

Results
formation energy = 0.8 eV/f.u.
space-group type = R-3m, No. 166

Here are the calculated magnetization numbers, same order: 0.0; 0.0; 0.0; 0.0; 4.8; 0.0; 2.1; 0.0 (μB/f.u.).
Here are the calculated total DFT energy (no corrections) numbers, same order: -30.21; -22.92; -41.87; -51.47; -23.20; -27.47; -68.93; -43.57 (eV for the cell shown).